Computed, not measured: a geometry-optimized CaI3O structure at the PBE level of DFT.

Cell and atoms, written as CIF:
```
data_CaI3O
_cell_length_a 5.2279
_cell_length_b 5.2279
_cell_length_c 5.2279
_cell_angle_alpha 90.00
_cell_angle_beta 90.00
_cell_angle_gamma 90.00
_space_group_name_H-M_alt 'P m -3 m'
_space_group_IT_number 221
_space_group_name_Hall '-P 4 2 3'
loop_
_atom_site_label
_atom_site_fract_x
_atom_site_fract_y
_atom_site_fract_z
Ca1 0.0000 0.0000 0.0000
I1 0.0000 0.5000 0.5000
O1 0.5000 0.5000 0.5000
```

Summary:
V: 142.9 Å³/cell
ΔE_f (raw): -0.37 eV/atom
Size of the total moment: 0.00 μB/f.u.